1.
# Nd5Ga2 | the Alexandria database | GGA-PBE | relaxed
data_Nd5Ga2
_chemical_formula_sum 'Nd20 Ga8'
_cell_length_a 8.087
_cell_length_b 15.010
_cell_length_c 6.677
_cell_angle_alpha 90.00
_cell_angle_beta 90.00
_cell_angle_gamma 90.00
_space_group_name_H-M_alt 'I b a m'
_space_group_IT_number 72
_space_group_name_Hall '-I 2 2c'
loop_
_atom_site_label
_atom_site_fract_x
_atom_site_fract_y
_atom_site_fract_z
Nd1 0.000 0.000 0.250
Nd2 0.000 0.238 0.250
Nd3 0.158 0.422 0.000
Ga1 0.231 0.374 0.500
# V in Å³ per cell: 810.51
# Energy of formation in eV/atom: -0.29
# Uncorrected energy in Ha/atom: -0.1678
# Magnetic moment in Bohr magnetons per cell: 0.000

2.
# Nd4Ga | the Alexandria database | GGA-PBE | relaxed
data_Nd4Ga
_chemical_formula_sum 'Nd4 Ga1'
_cell_length_a 5.703
_cell_length_b 5.703
_cell_length_c 5.703
_cell_angle_alpha 90.00
_cell_angle_beta 90.00
_cell_angle_gamma 90.00
_space_group_name_H-M_alt 'P m -3 m'
_space_group_IT_number 221
_space_group_name_Hall '-P 4 2 3'
loop_
_atom_site_label
_atom_site_fract_x
_atom_site_fract_y
_atom_site_fract_z
Nd1 0.000 0.000 0.000
Nd2 0.000 0.500 0.500
Ga1 0.500 0.500 0.500
# V in Å³ per cell: 185.50
# Energy of formation in eV/atom: 0.11
# Uncorrected energy in Ha/atom: -0.1585
# Magnetic moment in Bohr magnetons per cell: 0.004

3.
# Nd2Ga3Ni2 | the Alexandria database | GGA-PBE | relaxed
data_Nd2Ga3Ni2
_chemical_formula_sum 'Nd4 Ga6 Ni4'
_cell_length_a 10.557
_cell_length_b 4.101
_cell_length_c 6.974
_cell_angle_alpha 90.00
_cell_angle_beta 118.40
_cell_angle_gamma 90.00
_space_group_name_H-M_alt 'C 1 2/m 1'
_space_group_IT_number 12
loop_
_space_group_symop_operation_xyz
'x,y,z'
'-x,-y,-z'
'-x,y,-z'
'x,-y,z'
'x+1/2,y+1/2,z'
'-x+1/2,-y+1/2,-z'
'-x+1/2,y+1/2,-z'
'x+1/2,-y+1/2,z'
loop_
_atom_site_label
_atom_site_fract_x
_atom_site_fract_y
_atom_site_fract_z
Nd1 0.139 0.000 0.274
Ga1 0.000 0.500 0.500
Ga2 0.143 0.500 0.939
Ni1 0.133 0.000 0.708
# V in Å³ per cell: 265.63
# Energy of formation in eV/atom: -0.55
# Uncorrected energy in Ha/atom: -0.1787
# Magnetic moment in Bohr magnetons per cell: 0.000

4.
# NdGa6Ni2 | the Alexandria database | GGA-PBE | relaxed
data_NdGa6Ni2
_chemical_formula_sum 'Nd1 Ga6 Ni2'
_cell_length_a 5.8551
_cell_length_b 5.8551
_cell_length_c 6.0026
_cell_angle_alpha 90.00
_cell_angle_beta 90.00
_cell_angle_gamma 120.00
_space_group_name_H-M_alt 'P 6/m m m'
_space_group_IT_number 191
_space_group_name_Hall '-P 6 2'
loop_
_atom_site_label
_atom_site_fract_x
_atom_site_fract_y
_atom_site_fract_z
Nd1 0.0000 0.0000 0.0000
Ga1 0.0000 0.5000 0.2145
Ni1 0.3333 0.6667 0.5000
# V in Å³ per cell: 178.21
# Energy of formation in eV/atom: -0.20
# Uncorrected energy in Ha/atom: -0.1482
# Magnetic moment in Bohr magnetons per cell: 0.000

5.
# Nd2GaNi | the Alexandria database | GGA-PBE | relaxed
data_Nd2GaNi
_chemical_formula_sum 'Nd4 Ga2 Ni2'
_cell_length_a 6.116
_cell_length_b 4.460
_cell_length_c 7.559
_cell_angle_alpha 90.00
_cell_angle_beta 110.29
_cell_angle_gamma 90.00
_space_group_name_H-M_alt 'P 1 21/m 1'
_space_group_IT_number 11
loop_
_space_group_symop_operation_xyz
'x,y,z'
'-x,-y,-z'
'-x,y+1/2,-z'
'x,-y+1/2,z'
loop_
_atom_site_label
_atom_site_fract_x
_atom_site_fract_y
_atom_site_fract_z
Nd1 0.177 0.250 0.413
Nd2 0.282 0.750 0.072
Ga1 0.371 0.750 0.704
Ni1 0.188 0.250 0.784
# V in Å³ per cell: 193.41
# Energy of formation in eV/atom: -0.42
# Uncorrected energy in Ha/atom: -0.1839
# Magnetic moment in Bohr magnetons per cell: 0.000

6.
# NdGa2Ni5 | the Alexandria database | GGA-PBE | relaxed
data_NdGa2Ni5
_chemical_formula_sum 'Nd2 Ga4 Ni10'
_cell_length_a 3.725
_cell_length_b 6.657
_cell_length_c 9.495
_cell_angle_alpha 90.00
_cell_angle_beta 90.00
_cell_angle_gamma 90.00
_space_group_name_H-M_alt 'I m m m'
_space_group_IT_number 71
_space_group_name_Hall '-I 2 2'
loop_
_atom_site_label
_atom_site_fract_x
_atom_site_fract_y
_atom_site_fract_z
Nd1 0.000 0.000 0.000
Ga1 0.000 0.500 0.245
Ni1 0.000 0.186 0.365
Ni2 0.000 0.500 0.000
# V in Å³ per cell: 235.43
# Energy of formation in eV/atom: -0.34
# Uncorrected energy in Ha/atom: -0.1950
# Magnetic moment in Bohr magnetons per cell: 0.000

7.
# NdGa3Ni5 | the Alexandria database | GGA-PBE | relaxed
data_NdGa3Ni5
_chemical_formula_sum 'Nd4 Ga12 Ni20'
_cell_length_a 3.878
_cell_length_b 12.165
_cell_length_c 11.601
_cell_angle_alpha 90.00
_cell_angle_beta 90.00
_cell_angle_gamma 90.00
_space_group_name_H-M_alt 'C m c m'
_space_group_IT_number 63
_space_group_name_Hall '-C 2c 2'
loop_
_atom_site_label
_atom_site_fract_x
_atom_site_fract_y
_atom_site_fract_z
Nd1 0.000 0.179 0.250
Ga1 0.000 0.101 0.750
Ga2 0.000 0.380 0.550
Ni1 0.000 0.000 0.000
Ni2 0.000 0.190 0.563
Ni3 0.000 0.445 0.142
# V in Å³ per cell: 547.28
# Energy of formation in eV/atom: -0.40
# Uncorrected energy in Ha/atom: -0.1892
# Magnetic moment in Bohr magnetons per cell: 0.000

8.
# NdGa2Ni9 | the Alexandria database | GGA-PBE | relaxed
data_NdGa2Ni9
_chemical_formula_sum 'Nd1 Ga2 Ni9'
_cell_length_a 8.0722
_cell_length_b 8.0722
_cell_length_c 2.7680
_cell_angle_alpha 90.00
_cell_angle_beta 90.00
_cell_angle_gamma 120.00
_space_group_name_H-M_alt 'P 6/m m m'
_space_group_IT_number 191
_space_group_name_Hall '-P 6 2'
loop_
_atom_site_label
_atom_site_fract_x
_atom_site_fract_y
_atom_site_fract_z
Nd1 0.0000 0.0000 0.0000
Ga1 0.3333 0.6667 0.0000
Ni1 0.0000 0.5000 0.0000
Ni2 0.1874 0.3747 0.5000
# V in Å³ per cell: 156.20
# Energy of formation in eV/atom: -0.06
# Uncorrected energy in Ha/atom: -0.1946
# Magnetic moment in Bohr magnetons per cell: 0.027

| no. | density of states at the Fermi level (states/eV/f.u.) |
| --- | --- |
| 1 | 7.5 |
| 2 | 8.9 |
| 3 | 4.6 |
| 4 | 7.2 |
| 5 | 3.8 |
| 6 | 5.1 |
| 7 | 5.9 |
| 8 | 17.8 |